CoPOsCl2: relaxed, GGA-PBE.

Cell lengths 4.379, 4.379, 4.704 Å; angles 90.00, 90.00, 90.00 degrees
Site moments in Bohr magnetons follow the coordinates.
Fractional positions:
Co: 0.000 0.000 0.000  0.15
Os: 0.500 0.500 0.500  2.94
P: 0.000 0.000 0.500  -0.06
Cl: 0.000 0.500 0.000  0.14
Cl: 0.500 0.000 0.000  0.14

Calculated values
E above lowest polymorph   216 meV/atom
Total moment   3.7 μB per formula unit
ΔE_f (raw)   1.166 eV/atom
Electronic total energy   -4.3214 eV per atom